No. 1
{"formula": "K3Er3IrO8", "functional": "PBE", "state": "optimized geometry", "space_group": "R-3m", "dos_ef_per_ev_cell": 6.95, "formation_energy_uncorrected_ev_per_atom": -2.368, "lattice_angstrom": [[3.352, 1.935, 6.269], [-3.352, 1.935, 6.269], [0.000, -3.871, 6.269]], "species": ["K", "K", "K", "Er", "Er", "Er", "Ir", "O", "O", "O", "O", "O", "O", "O", "O"], "fractional_positions": [[0.000, 0.500, 0.500], [0.500, 0.000, 0.500], [0.500, 0.500, 0.000], [0.000, 0.000, 0.500], [0.000, 0.500, 0.000], [0.500, 0.000, 0.000], [0.500, 0.500, 0.500], [0.227, 0.227, 0.227], [0.248, 0.713, 0.713], [0.287, 0.287, 0.752], [0.287, 0.752, 0.287], [0.713, 0.248, 0.713], [0.713, 0.713, 0.248], [0.752, 0.287, 0.287], [0.773, 0.773, 0.773]]}

=====

No. 2
{"formula": "LiSb2Se", "functional": "PBE", "state": "optimized geometry", "space_group": "R3m", "dos_ef_per_ev_cell": 1.89, "formation_energy_uncorrected_ev_per_atom": -0.328, "lattice_angstrom": [[2.037, 1.176, 7.099], [-2.037, 1.176, 7.099], [0.000, -2.352, 7.099]], "species": ["Li", "Sb", "Sb", "Se"], "fractional_positions": [[0.000, 0.000, 0.000], [0.523, 0.523, 0.523], [0.774, 0.774, 0.774], [0.282, 0.282, 0.282]]}

=====

No. 3
{"formula": "ZrGa2Pt2", "functional": "PBE", "state": "optimized geometry", "space_group": "P4/mbm", "formation_enthalpy_0k_ev_per_atom": -0.640, "dos_ef_per_ev_cell": 7.84, "lattice_angstrom": [[7.727, 0.000, 0.000], [0.000, 7.727, 0.000], [0.000, 0.000, 2.824]], "species": ["Zr", "Zr", "Ga", "Ga", "Ga", "Ga", "Pt", "Pt", "Pt", "Pt"], "fractional_positions": [[0.000, 0.000, 0.000], [0.500, 0.500, 0.000], [0.130, 0.370, 0.000], [0.370, 0.870, 0.000], [0.630, 0.130, 0.000], [0.870, 0.630, 0.000], [0.167, 0.667, 0.500], [0.333, 0.167, 0.500], [0.667, 0.833, 0.500], [0.833, 0.333, 0.500]]}

=====

No. 4
{"formula": "TiPbC", "functional": "PBE", "state": "optimized geometry", "space_group": "C2/m", "formation_enthalpy_0k_ev_per_atom": 0.251, "dos_ef_per_ev_cell": 2.40, "lattice_angstrom": [[4.970, -1.641, 0.000], [4.970, 1.641, 0.000], [-4.507, 0.000, 7.575]], "species": ["Ti", "Ti", "Pb", "Pb", "C", "C"], "fractional_positions": [[0.181, 0.181, 0.081], [0.819, 0.819, 0.919], [0.458, 0.458, 0.697], [0.542, 0.542, 0.303], [0.179, 0.179, 0.846], [0.821, 0.821, 0.154]]}

=====

No. 5
{"formula": "In2TcPt", "functional": "PBE", "state": "optimized geometry", "space_group": "R3m", "formation_enthalpy_0k_ev_per_atom": 0.191, "dos_ef_per_ev_cell": 2.89, "lattice_angstrom": [[1.533, 0.885, 9.217], [-1.533, 0.885, 9.217], [0.000, -1.770, 9.217]], "species": ["In", "In", "Tc", "Pt"], "fractional_positions": [[0.000, 0.000, 0.000], [0.237, 0.237, 0.237], [0.749, 0.749, 0.749], [0.488, 0.488, 0.488]]}

=====

No. 6
{"formula": "BiH2Ir2", "functional": "PBE", "state": "optimized geometry", "space_group": "P4/mbm", "dos_ef_per_ev_cell": 7.81, "de_polymorph_mev_per_atom": 300, "lattice_angstrom": [[7.097, 0.000, 0.000], [0.000, 7.097, 0.000], [0.000, 0.000, 2.844]], "species": ["Bi", "Bi", "H", "H", "H", "H", "Ir", "Ir", "Ir", "Ir"], "fractional_positions": [[0.000, 0.000, 0.000], [0.500, 0.500, 0.000], [0.081, 0.419, 0.500], [0.419, 0.919, 0.500], [0.581, 0.081, 0.500], [0.919, 0.581, 0.500], [0.123, 0.623, 0.000], [0.377, 0.123, 0.000], [0.623, 0.877, 0.000], [0.877, 0.377, 0.000]]}

=====

No. 7
{"formula": "MnCl2", "functional": "PBE", "state": "optimized geometry", "space_group": "Fd-3m", "dos_ef_per_ev_cell": 7.06, "formation_energy_uncorrected_ev_per_atom": 0.759, "lattice_angstrom": [[0.000, 4.145, 4.145], [4.145, 0.000, 4.145], [4.145, 4.145, 0.000]], "species": ["Mn", "Mn", "Cl", "Cl", "Cl", "Cl"], "fractional_positions": [[0.125, 0.125, 0.125], [0.875, 0.875, 0.875], [0.000, 0.500, 0.500], [0.500, 0.000, 0.500], [0.500, 0.500, 0.000], [0.500, 0.500, 0.500]]}

=====

No. 8
{"formula": "La3Cd2Au", "functional": "PBE", "state": "optimized geometry", "space_group": "Cmmm", "formation_enthalpy_0k_ev_per_atom": -0.474, "dos_ef_per_ev_cell": 14.05, "de_polymorph_mev_per_atom": 8, "lattice_angstrom": [[2.724, -8.222, 0.000], [2.724, 8.222, 0.000], [0.000, 0.000, 7.836]], "species": ["La", "La", "La", "La", "La", "La", "Cd", "Cd", "Cd", "Cd", "Au", "Au"], "fractional_positions": [[0.000, 0.000, 0.246], [0.000, 0.000, 0.754], [0.328, 0.672, 0.233], [0.328, 0.672, 0.767], [0.672, 0.328, 0.233], [0.672, 0.328, 0.767], [0.166, 0.834, 0.500], [0.500, 0.500, 0.000], [0.500, 0.500, 0.500], [0.834, 0.166, 0.500], [0.155, 0.845, 0.000], [0.845, 0.155, 0.000]]}

=====

No. 9
{"formula": "TaIr2Se", "functional": "PBE", "state": "optimized geometry", "space_group": "Cm", "dos_ef_per_ev_cell": 2.77, "formation_energy_uncorrected_ev_per_atom": -0.034, "lattice_angstrom": [[4.922, -1.500, 0.000], [4.922, 1.500, 0.000], [-0.177, 0.000, 4.473]], "species": ["Ta", "Ir", "Ir", "Se"], "fractional_positions": [[0.000, 0.000, 0.000], [0.442, 0.442, 0.471], [0.711, 0.711, 0.237], [0.231, 0.231, 0.730]]}

=====

No. 10
{"formula": "LiMg4Ag2", "functional": "PBE", "state": "optimized geometry", "space_group": "R-3m", "formation_enthalpy_0k_ev_per_atom": -0.158, "dos_ef_per_ev_cell": 3.16, "de_polymorph_mev_per_atom": 0, "lattice_angstrom": [[2.364, 1.365, 7.383], [-2.364, 1.365, 7.383], [0.000, -2.729, 7.383]], "species": ["Li", "Mg", "Mg", "Mg", "Mg", "Ag", "Ag"], "fractional_positions": [[0.000, 0.000, 0.000], [0.131, 0.131, 0.131], [0.387, 0.387, 0.387], [0.613, 0.613, 0.613], [0.869, 0.869, 0.869], [0.257, 0.257, 0.257], [0.743, 0.743, 0.743]]}

=====

No. 11
{"formula": "EuZn2Cu", "functional": "PBE", "state": "optimized geometry", "space_group": "R-3m", "formation_enthalpy_0k_ev_per_atom": -0.198, "dos_ef_per_ev_cell": 8.40, "lattice_angstrom": [[2.146, 1.239, 5.255], [-2.146, 1.239, 5.255], [0.000, -2.478, 5.255]], "species": ["Eu", "Zn", "Zn", "Cu"], "fractional_positions": [[0.000, 0.000, 0.000], [0.200, 0.200, 0.200], [0.800, 0.800, 0.800], [0.500, 0.500, 0.500]]}

=====

No. 12
{"formula": "LiCaHgPb2", "functional": "PBE", "state": "optimized geometry", "space_group": "P4/mmm", "formation_enthalpy_0k_ev_per_atom": -0.165, "dos_ef_per_ev_cell": 2.34, "lattice_angstrom": [[5.193, 0.000, 0.000], [0.000, 5.193, 0.000], [0.000, 0.000, 5.096]], "species": ["Li", "Ca", "Hg", "Pb", "Pb"], "fractional_positions": [[0.000, 0.000, 0.000], [0.500, 0.500, 0.500], [0.000, 0.000, 0.500], [0.000, 0.500, 0.000], [0.500, 0.000, 0.000]]}

=====

No. 13
{"formula": "TbGd2Au", "functional": "PBE", "state": "optimized geometry", "space_group": "R-3m", "formation_enthalpy_0k_ev_per_atom": 0.136, "dos_ef_per_ev_cell": 5.16, "de_polymorph_mev_per_atom": 520, "lattice_angstrom": [[1.757, 1.015, 11.373], [-1.757, 1.015, 11.373], [0.000, -2.029, 11.373]], "species": ["Tb", "Gd", "Gd", "Au"], "fractional_positions": [[0.000, 0.000, 0.000], [0.417, 0.417, 0.417], [0.583, 0.583, 0.583], [0.500, 0.500, 0.500]]}

=====

No. 14
{"formula": "LiNd12Al4O3", "functional": "PBE", "state": "optimized geometry", "space_group": "Im-3m", "dos_ef_per_ev_cell": 16.01, "formation_energy_uncorrected_ev_per_atom": -0.814, "lattice_angstrom": [[-5.039, 5.039, 5.039], [5.039, -5.039, 5.039], [5.039, 5.039, -5.039]], "species": ["Li", "Nd", "Nd", "Nd", "Nd", "Nd", "Nd", "Nd", "Nd", "Nd", "Nd", "Nd", "Nd", "Al", "Al", "Al", "Al", "O", "O", "O"], "fractional_positions": [[0.000, 0.000, 0.000], [0.000, 0.263, 0.263], [0.000, 0.737, 0.737], [0.250, 0.500, 0.750], [0.250, 0.750, 0.500], [0.263, 0.000, 0.263], [0.263, 0.263, 0.000], [0.500, 0.250, 0.750], [0.500, 0.750, 0.250], [0.737, 0.000, 0.737], [0.737, 0.737, 0.000], [0.750, 0.250, 0.500], [0.750, 0.500, 0.250], [0.000, 0.000, 0.500], [0.000, 0.500, 0.000], [0.500, 0.000, 0.000], [0.500, 0.500, 0.500], [0.000, 0.500, 0.500], [0.500, 0.000, 0.500], [0.500, 0.500, 0.000]]}

=====

No. 15
{"formula": "Pm3Zn8Au3", "functional": "PBE", "state": "optimized geometry", "space_group": "Immm", "formation_enthalpy_0k_ev_per_atom": -0.444, "dos_ef_per_ev_cell": 8.36, "de_polymorph_mev_per_atom": 32, "lattice_angstrom": [[-2.202, 4.602, 6.659], [2.202, -4.602, 6.659], [2.202, 4.602, -6.659]], "species": ["Pm", "Pm", "Pm", "Zn", "Zn", "Zn", "Zn", "Zn", "Zn", "Zn", "Zn", "Au", "Au", "Au"], "fractional_positions": [[0.000, 0.000, 0.000], [0.312, 0.312, 0.000], [0.688, 0.688, 0.000], [0.039, 0.676, 0.363], [0.143, 0.866, 0.277], [0.313, 0.676, 0.637], [0.410, 0.134, 0.277], [0.590, 0.866, 0.723], [0.687, 0.324, 0.363], [0.857, 0.134, 0.723], [0.961, 0.324, 0.637], [0.271, 0.500, 0.771], [0.500, 0.000, 0.500], [0.729, 0.500, 0.229]]}

=====

No. 16
{"formula": "BaCdO2", "functional": "PBE", "state": "optimized geometry", "space_group": "R3m", "dos_ef_per_ev_cell": 0.00, "formation_energy_uncorrected_ev_per_atom": -1.600, "lattice_angstrom": [[1.803, 1.041, 6.135], [-1.803, 1.041, 6.135], [0.000, -2.082, 6.135]], "species": ["Ba", "Cd", "O", "O"], "fractional_positions": [[0.000, 0.000, 0.000], [0.828, 0.828, 0.828], [0.237, 0.237, 0.237], [0.423, 0.423, 0.423]]}

=====

No. 17
{"formula": "SiRuSe3", "functional": "PBE", "state": "optimized geometry", "space_group": "Pm-3m", "dos_ef_per_ev_cell": 3.82, "formation_energy_uncorrected_ev_per_atom": 0.900, "de_polymorph_mev_per_atom": 236, "lattice_angstrom": [[4.778, 0.000, 0.000], [0.000, 4.778, 0.000], [0.000, 0.000, 4.778]], "species": ["Si", "Ru", "Se", "Se", "Se"], "fractional_positions": [[0.000, 0.000, 0.000], [0.500, 0.500, 0.500], [0.000, 0.000, 0.500], [0.000, 0.500, 0.000], [0.500, 0.000, 0.000]]}

=====

No. 18
{"formula": "Na3LaTh2Se6", "functional": "PBE", "state": "optimized geometry", "space_group": "C2/m", "dos_ef_per_ev_cell": 7.02, "formation_energy_uncorrected_ev_per_atom": -1.563, "lattice_angstrom": [[3.667, -6.350, 0.000], [3.667, 6.350, 0.000], [-2.448, 0.000, 7.131]], "species": ["Na", "Na", "Na", "La", "Th", "Th", "Se", "Se", "Se", "Se", "Se", "Se"], "fractional_positions": [[0.000, 0.000, 0.000], [0.335, 0.665, 0.000], [0.665, 0.335, 0.000], [0.500, 0.500, 0.500], [0.167, 0.833, 0.500], [0.833, 0.167, 0.500], [0.077, 0.419, 0.257], [0.239, 0.239, 0.744], [0.419, 0.077, 0.257], [0.581, 0.923, 0.743], [0.761, 0.761, 0.256], [0.923, 0.581, 0.743]]}

=====

No. 19
{"formula": "SrOsW2", "functional": "PBE", "state": "optimized geometry", "space_group": "Cmmm", "formation_enthalpy_0k_ev_per_atom": 1.237, "dos_ef_per_ev_cell": 3.19, "de_polymorph_mev_per_atom": 552, "lattice_angstrom": [[2.774, -4.938, 0.000], [2.774, 4.938, 0.000], [0.000, 0.000, 2.698]], "species": ["Sr", "Os", "W", "W"], "fractional_positions": [[0.000, 0.000, 0.000], [0.500, 0.500, 0.000], [0.000, 0.500, 0.500], [0.500, 0.000, 0.500]]}

=====

No. 20
{"formula": "PmY4Ho4", "functional": "PBE", "state": "optimized geometry", "space_group": "I4/mmm", "formation_enthalpy_0k_ev_per_atom": 0.023, "dos_ef_per_ev_cell": 13.21, "lattice_angstrom": [[-5.342, 5.342, 2.514], [5.342, -5.342, 2.514], [5.342, 5.342, -2.514]], "species": ["Pm", "Y", "Y", "Y", "Y", "Ho", "Ho", "Ho", "Ho"], "fractional_positions": [[0.000, 0.000, 0.000], [0.333, 0.333, 0.666], [0.333, 0.667, 0.000], [0.667, 0.333, 0.000], [0.667, 0.667, 0.334], [0.000, 0.335, 0.335], [0.000, 0.665, 0.665], [0.335, 0.000, 0.335], [0.665, 0.000, 0.665]]}